Here is a relaxed NaPuHgAu crystal from Alexandria. Energies are from PBE.

## Properties
SG ... No. 216
Magnetic moment ... 1.51 μB per atom
DFT total energy ... -5.001 eV/atom
ΔE to the lowest computed polymorph ... 63 meV per atom
Energy of formation ... -0.19 eV per atom

Unit cell a=5.180 b=5.180 c=5.180 alpha=60.00 beta=60.00 gamma=60.00
Positions (direct):
Au 0.500 0.500 0.500
Pu 0.750 0.750 0.750
Na 0.250 0.250 0.250
Hg 0.000 0.000 0.000